5
Lattice="-3.946 -1.962 2.365 3.041 -1.937 3.467 -0.443 4.173 2.721" Properties=species:S:1:pos:R:3 comment="PBE CsLi3P, optimized geometry" crystal_system=cubic delta_e_f_ev_per_atom=-0.29 final_energy_ha_per_atom=-0.0989 sg=Pm-3m pbc="T T T"
Cs -0.675 0.137 4.277
P 0.000 0.000 0.000
Li 1.520 -0.969 1.733
Li -0.222 2.087 1.361
Li -1.973 -0.981 1.183